DFT (PBE-GGA) results for crystalline ReRu2Se at its relaxed geometry.

```
4
Lattice="-1.8446 -1.5470 -1.5806 -0.5296 -1.6893 2.2715 -5.3187 4.3237 1.9754" Properties=species:S:1:pos:R:3 pbc="T T T"
Re -5.1761 1.6246 1.8270
Ru -2.6610 2.1631 0.9883
Ru -5.3171 4.3223 1.9748
Se -2.5168 -0.5372 0.8393
```

formation energy without anion corrections = 0.178 eV/atom
ΔE to the lowest computed polymorph = 0 meV/atom